1.
Mn2SnS4: relaxed, PBE-GGA.

a = 10.558 Å, b = 10.609 Å, c = 7.473 Å
α = 90.00°, β = 134.68°, γ = 90.00°
Space group C2/c (No. 15)
Symmetry-distinct sites (fractional):
Mn 0.000 0.000 0.000 [4 per cell]
Mn 0.250 0.250 0.000 [4 per cell]
Sn 0.000 0.376 0.250 [4 per cell]
S 0.000 0.234 0.530 [8 per cell]
S 0.218 0.016 0.968 [8 per cell]

Values from the calculation:
Energy relative to the elements, uncorrected   -0.46 eV per atom
Calculated volume   595.1 Å³/cell
Offset from the most stable computed form   18.4 meV/atom
Fermi-level density of states   0.488 states/eV per atom

=====

2.
MnSnS3: relaxed, PBE-GGA.

a = 6.1433 Å, b = 6.1433 Å, c = 8.3337 Å
α = 90.00°, β = 90.00°, γ = 120.00°
Space group P-31m (No. 162)
Symmetry-distinct sites (fractional):
Mn 0.3333 0.6667 0.0000 [2 per cell]
Sn 0.0000 0.0000 0.2870 [2 per cell]
S 0.0000 0.3879 0.8373 [6 per cell]

Values from the calculation:
Energy relative to the elements, uncorrected   -0.41 eV per atom
Calculated volume   272.4 Å³/cell
Offset from the most stable computed form   0.0 meV/atom
Fermi-level density of states   0.103 states/eV per atom

=====

3.
Mn2SnS4: relaxed, PBE-GGA.

a = 6.926 Å, b = 6.926 Å, c = 11.945 Å
α = 90.00°, β = 90.00°, γ = 90.00°
Space group I4_1/a (No. 88, origin choice 2)
Symmetry-distinct sites (fractional):
Mn 0.000 0.000 0.000 [8 per cell]
Sn 0.000 0.250 0.625 [4 per cell]
S 0.126 0.033 0.819 [16 per cell]

Values from the calculation:
Energy relative to the elements, uncorrected   -0.40 eV per atom
Calculated volume   573.0 Å³/cell
Offset from the most stable computed form   81.7 meV/atom
Fermi-level density of states   0.192 states/eV per atom

=====

4.
MnSn2S4: relaxed, PBE-GGA.

a = 7.217 Å, b = 8.637 Å, c = 10.240 Å
α = 90.00°, β = 90.00°, γ = 90.00°
Space group Imma (No. 74)
Symmetry-distinct sites (fractional):
Mn 0.250 0.250 0.250 [4 per cell]
Sn 0.000 0.000 0.000 [4 per cell]
Sn 0.000 0.250 0.673 [4 per cell]
S 0.000 0.066 0.255 [8 per cell]
S 0.242 0.250 0.004 [8 per cell]

Values from the calculation:
Energy relative to the elements, uncorrected   -0.41 eV per atom
Calculated volume   638.3 Å³/cell
Fermi-level density of states   0.411 states/eV per atom

=====

5.
MnSnS2: relaxed, PBE-GGA.

a = 4.1824 Å, b = 4.1824 Å, c = 22.1879 Å
α = 90.00°, β = 90.00°, γ = 120.00°
Space group R-3m (No. 166, hexagonal axes)
Symmetry-distinct sites (fractional):
Mn 0.0000 0.0000 0.0000 [3 per cell]
Sn 0.0000 0.0000 0.5000 [3 per cell]
S 0.0000 0.0000 0.0998 [6 per cell]

Values from the calculation:
Energy relative to the elements, uncorrected   -0.12 eV per atom
Calculated volume   336.1 Å³/cell
Fermi-level density of states   0.483 states/eV per atom

=====

6.
MnSnS3: relaxed, PBE-GGA.

a = 4.486 Å, b = 4.486 Å, c = 4.486 Å
α = 90.00°, β = 90.00°, γ = 90.00°
Space group Pm-3m (No. 221)
Symmetry-distinct sites (fractional):
Mn 0.000 0.000 0.000 [1 per cell]
Sn 0.500 0.500 0.500 [1 per cell]
S 0.000 0.000 0.500 [3 per cell]

Values from the calculation:
Energy relative to the elements, uncorrected   0.07 eV per atom
Calculated volume   90.3 Å³/cell
Offset from the most stable computed form   479.8 meV/atom
Fermi-level density of states   1.716 states/eV per atom

=====

7.
MnSn2S4: relaxed, PBE-GGA.

a = 8.218 Å, b = 10.822 Å, c = 3.739 Å
α = 90.00°, β = 90.00°, γ = 90.00°
Space group Cmmm (No. 65)
Symmetry-distinct sites (fractional):
Mn 0.000 0.000 0.000 [2 per cell]
Sn 0.250 0.250 0.500 [4 per cell]
S 0.000 0.226 0.000 [4 per cell]
S 0.197 0.000 0.500 [4 per cell]

Values from the calculation:
Energy relative to the elements, uncorrected   -0.40 eV per atom
Calculated volume   332.5 Å³/cell
Fermi-level density of states   0.540 states/eV per atom

=====

8.
Mn2SnS4: relaxed, PBE-GGA.

a = 7.396 Å, b = 7.573 Å, c = 10.444 Å
α = 90.00°, β = 90.00°, γ = 90.00°
Space group Imma (No. 74)
Symmetry-distinct sites (fractional):
Mn 0.000 0.250 0.132 [4 per cell]
Mn 0.250 0.250 0.750 [4 per cell]
Sn 0.000 0.000 0.500 [4 per cell]
S 0.000 0.022 0.750 [8 per cell]
S 0.249 0.250 0.986 [8 per cell]

Values from the calculation:
Energy relative to the elements, uncorrected   -0.48 eV per atom
Calculated volume   585.0 Å³/cell
Offset from the most stable computed form   5.5 meV/atom
Fermi-level density of states   0.528 states/eV per atom

=====

9.
MnSnS2: relaxed, PBE-GGA.

a = 3.2545 Å, b = 3.2545 Å, c = 8.4454 Å
α = 90.00°, β = 90.00°, γ = 120.00°
Space group P-6m2 (No. 187)
Symmetry-distinct sites (fractional):
Mn 0.0000 0.0000 0.0000 [1 per cell]
Sn 0.3333 0.6667 0.5000 [1 per cell]
S 0.3333 0.6667 0.1617 [2 per cell]

Values from the calculation:
Energy relative to the elements, uncorrected   -0.34 eV per atom
Calculated volume   77.5 Å³/cell
Fermi-level density of states   0.427 states/eV per atom

=====

10.
MnSn3S: relaxed, PBE-GGA.

a = 4.966 Å, b = 4.966 Å, c = 4.966 Å
α = 90.00°, β = 90.00°, γ = 90.00°
Space group Pm-3m (No. 221)
Symmetry-distinct sites (fractional):
Mn 0.000 0.000 0.000 [1 per cell]
Sn 0.000 0.000 0.500 [3 per cell]
S 0.500 0.500 0.500 [1 per cell]

Values from the calculation:
Energy relative to the elements, uncorrected   0.14 eV per atom
Calculated volume   122.5 Å³/cell
Offset from the most stable computed form   0.0 meV/atom
Fermi-level density of states   1.240 states/eV per atom

=====

11.
MnSnS3: relaxed, PBE-GGA.

a = 4.960 Å, b = 4.960 Å, c = 4.960 Å
α = 90.00°, β = 90.00°, γ = 90.00°
Space group Pm-3m (No. 221)
Symmetry-distinct sites (fractional):
Mn 0.000 0.000 0.000 [1 per cell]
Sn 0.500 0.500 0.500 [1 per cell]
S 0.000 0.500 0.500 [3 per cell]

Values from the calculation:
Energy relative to the elements, uncorrected   0.46 eV per atom
Calculated volume   122.0 Å³/cell
Offset from the most stable computed form   867.9 meV/atom
Fermi-level density of states   0.635 states/eV per atom

=====

12.
TaMn2SnS: relaxed, PBE-GGA.

a = 5.754 Å, b = 5.754 Å, c = 5.836 Å
α = 90.00°, β = 90.00°, γ = 90.00°
Space group P4/mmm (No. 123)
Symmetry-distinct sites (fractional):
Ta 0.000 0.000 0.000 [1 per cell]
Mn 0.000 0.500 0.500 [2 per cell]
Sn 0.500 0.500 0.500 [1 per cell]
S 0.500 0.500 0.000 [1 per cell]

Values from the calculation:
Energy relative to the elements, uncorrected   2.24 eV per atom
Calculated volume   193.2 Å³/cell
Fermi-level density of states   0.980 states/eV per atom

=====

13.
TiMnSnS4: relaxed, PBE-GGA.

a = 7.222 Å, b = 8.273 Å, c = 10.236 Å
α = 90.00°, β = 90.00°, γ = 90.00°
Space group Imma (No. 74)
Symmetry-distinct sites (fractional):
Ti 0.250 0.250 0.250 [4 per cell]
Mn 0.000 0.000 0.000 [4 per cell]
Sn 0.000 0.250 0.647 [4 per cell]
S 0.000 0.051 0.244 [8 per cell]
S 0.221 0.250 0.008 [8 per cell]

Values from the calculation:
Energy relative to the elements, uncorrected   -0.75 eV per atom
Calculated volume   611.6 Å³/cell
Fermi-level density of states   0.176 states/eV per atom

=====

14.
Mn2Tl2SnS6: relaxed, PBE-GGA.

a = 6.290 Å, b = 10.910 Å, c = 7.705 Å
α = 90.00°, β = 103.90°, γ = 90.00°
Space group C2/m (No. 12)
Symmetry-distinct sites (fractional):
Mn 0.000 0.167 0.000 [4 per cell]
Tl 0.000 0.341 0.500 [4 per cell]
Sn 0.000 0.500 0.000 [2 per cell]
S 0.186 0.000 0.176 [4 per cell]
S 0.232 0.318 0.178 [8 per cell]

Values from the calculation:
Energy relative to the elements, uncorrected   -0.47 eV per atom
Calculated volume   513.3 Å³/cell
Fermi-level density of states   0.326 states/eV per atom

=====

15.
Mn2Tl3SnS6: relaxed, PBE-GGA.

a = 6.442 Å, b = 11.167 Å, c = 7.754 Å
α = 90.00°, β = 105.93°, γ = 90.00°
Space group C2/m (No. 12)
Symmetry-distinct sites (fractional):
Mn 0.000 0.167 0.000 [4 per cell]
Tl 0.000 0.000 0.500 [2 per cell]
Tl 0.000 0.339 0.500 [4 per cell]
Sn 0.000 0.500 0.000 [2 per cell]
S 0.199 0.000 0.177 [4 per cell]
S 0.241 0.320 0.180 [8 per cell]

Values from the calculation:
Energy relative to the elements, uncorrected   -0.44 eV per atom
Calculated volume   536.4 Å³/cell
Fermi-level density of states   0.378 states/eV per atom

=====

16.
MnTl2SnS5: relaxed, PBE-GGA.

a = 3.657 Å, b = 18.625 Å, c = 13.576 Å
α = 90.00°, β = 90.00°, γ = 90.00°
Space group Cmc2_1 (No. 36)
Symmetry-distinct sites (fractional):
Mn 0.000 0.217 0.000 [4 per cell]
Tl 0.000 0.123 0.637 [4 per cell]
Tl 0.000 0.138 0.285 [4 per cell]
Sn 0.000 0.442 0.409 [4 per cell]
S 0.000 0.042 0.027 [4 per cell]
S 0.000 0.286 0.607 [4 per cell]
S 0.000 0.311 0.384 [4 per cell]
S 0.000 0.332 0.970 [4 per cell]
S 0.000 0.494 0.761 [4 per cell]

Values from the calculation:
Energy relative to the elements, uncorrected   -0.35 eV per atom
Calculated volume   924.8 Å³/cell
Fermi-level density of states   0.185 states/eV per atom

=====

17.
MnTl2SnS4: relaxed, PBE-GGA.

a = 7.828 Å, b = 8.253 Å, c = 11.339 Å
α = 90.00°, β = 90.00°, γ = 90.00°
Space group Imma (No. 74)
Symmetry-distinct sites (fractional):
Mn 0.250 0.250 0.250 [4 per cell]
Tl 0.000 0.000 0.000 [4 per cell]
Tl 0.250 0.250 0.750 [4 per cell]
Sn 0.000 0.000 0.500 [4 per cell]
S 0.000 0.047 0.260 [8 per cell]
S 0.231 0.250 0.476 [8 per cell]

Values from the calculation:
Energy relative to the elements, uncorrected   -0.37 eV per atom
Calculated volume   732.5 Å³/cell
Fermi-level density of states   0.383 states/eV per atom

=====

18.
UMnSnS4: relaxed, PBE-GGA.

a = 6.593 Å, b = 6.312 Å, c = 8.116 Å
α = 90.00°, β = 109.17°, γ = 90.00°
Space group P2_1/m (No. 11)
Symmetry-distinct sites (fractional):
U 0.220 0.250 0.048 [2 per cell]
Mn 0.231 0.750 0.815 [2 per cell]
Sn 0.287 0.250 0.548 [2 per cell]
S 0.025 0.508 0.227 [4 per cell]
S 0.437 0.750 0.631 [2 per cell]
S 0.455 0.750 0.099 [2 per cell]

Values from the calculation:
Energy relative to the elements, uncorrected   -0.76 eV per atom
Calculated volume   319.0 Å³/cell
Fermi-level density of states   0.857 states/eV per atom

=====

19.
UMn4SnS8: relaxed, PBE-GGA.

a = 7.5397 Å, b = 7.5397 Å, c = 18.8251 Å
α = 90.00°, β = 90.00°, γ = 120.00°
Space group R3m (No. 160, hexagonal axes)
Symmetry-distinct sites (fractional):
U 0.0000 0.0000 0.0000 [3 per cell]
Mn 0.0000 0.0000 0.6366 [3 per cell]
Mn 0.0030 0.5015 0.5017 [9 per cell]
Sn 0.0000 0.0000 0.3674 [3 per cell]
S 0.0000 0.0000 0.2299 [3 per cell]
S 0.0000 0.0000 0.7661 [3 per cell]
S 0.0242 0.5121 0.7613 [9 per cell]
S 0.1705 0.3410 0.5844 [9 per cell]

Values from the calculation:
Energy relative to the elements, uncorrected   -0.66 eV per atom
Calculated volume   926.8 Å³/cell
Fermi-level density of states   0.544 states/eV per atom

=====

20.
UMnSn2S6: relaxed, PBE-GGA.

a = 6.9137 Å, b = 6.9137 Å, c = 17.4131 Å
α = 90.00°, β = 90.00°, γ = 120.00°
Space group R3 (No. 146, hexagonal axes)
Symmetry-distinct sites (fractional):
U 0.0000 0.0000 0.0000 [3 per cell]
Mn 0.0000 0.0000 0.5038 [3 per cell]
Sn 0.0000 0.0000 0.2976 [3 per cell]
Sn 0.0000 0.0000 0.7945 [3 per cell]
S 0.0725 0.3431 0.5750 [9 per cell]
S 0.0801 0.7335 0.0780 [9 per cell]

Values from the calculation:
Energy relative to the elements, uncorrected   -0.70 eV per atom
Calculated volume   720.8 Å³/cell
Fermi-level density of states   0.002 states/eV per atom